Density functional theory data (GGA-PBEsol) for crystalline TaAgP2O at its relaxed geometry.

Properties
- N(E_F) (states/eV per atom) = 0.660
- symmetry = P4/mmm (123)
- spin magnetization (μB per formula unit) = 0.268
- energy relative to the elements, uncorrected (kJ/mol of formula units) = 439.4
- calculated volume (Å³ per cell) = 81.7

Unit cell a=4.656 b=4.656 c=3.768 alpha=90.00 beta=90.00 gamma=90.00
Atoms (fractional coordinates):
1 Ta 0.000 0.000 0.000
2 Ag 0.500 0.500 0.500
3 P 0.000 0.500 0.500
4 P 0.500 0.000 0.500
5 O 0.500 0.500 0.000